Entry 1:
! Sm5Al2Te2 (GGA-PBE, optimized geometry); values from VASP
&SYSTEM
  ibrav = 0, nat = 18, ntyp = 3
/
ATOMIC_SPECIES
Sm 150.36 Sm.upf
Al 26.98 Al.upf
Te 127.60 Te.upf
ATOMIC_POSITIONS crystal
Sm 0.0000 0.0000 0.0000
Sm 0.5000 0.5000 0.0000
Sm 0.4615 0.1691 0.7347
Sm 0.8037 0.8309 0.7347
Sm 0.3037 0.6691 0.7347
Sm 0.9615 0.3309 0.7347
Sm 0.5385 0.8309 0.2653
Sm 0.1963 0.1691 0.2653
Sm 0.6963 0.3309 0.2653
Sm 0.0385 0.6691 0.2653
Al 0.1202 0.3821 0.0000
Al 0.8798 0.6179 0.0000
Al 0.3798 0.8821 0.0000
Al 0.6202 0.1179 0.0000
Te 0.2033 0.0000 0.5935
Te 0.7033 0.5000 0.5935
Te 0.7967 0.0000 0.4065
Te 0.2967 0.5000 0.4065
CELL_PARAMETERS angstrom
7.6279 0.0000 2.7689
0.0000 8.1284 0.0000
1.1172 0.0000 8.8136
! Space-group type = Cmce (64)
! Raw formation energy = -7.4 eV/f.u.
! Magnetization = 0.02 Bohr magnetons per cell



Entry 2:
! Sr2Mg5Tl4 (GGA-PBE, optimized geometry); values from VASP
&SYSTEM
  ibrav = 0, nat = 11, ntyp = 3
/
ATOMIC_SPECIES
Sr 87.62 Sr.upf
Mg 24.30 Mg.upf
Tl 204.38 Tl.upf
ATOMIC_POSITIONS crystal
Sr 0.8795 0.0000 0.2410
Sr 0.1205 0.0000 0.7590
Mg 0.5000 0.0000 0.0000
Mg 0.0000 0.5000 0.0000
Mg 0.5000 0.5000 0.0000
Mg 0.2500 0.5000 0.5000
Mg 0.7500 0.5000 0.5000
Tl 0.4707 0.3179 0.7407
Tl 0.5293 0.6821 0.2593
Tl 0.2114 0.3179 0.2593
Tl 0.7886 0.6821 0.7407
CELL_PARAMETERS angstrom
6.3672 0.0000 0.0000
3.1836 5.4140 0.0000
3.1836 0.0000 9.5429
! Space-group type = Fmmm (69)
! Energy of formation = -1.43 eV per formula unit
! Magnetization = 0.00 Bohr magnetons per cell



Entry 3:
! BaMgZnS3 (GGA-PBE, optimized geometry); values from VASP
&SYSTEM
  ibrav = 0, nat = 12, ntyp = 4
/
ATOMIC_SPECIES
Ba 137.33 Ba.upf
Mg 24.30 Mg.upf
Zn 65.41 Zn.upf
S 32.06 S.upf
ATOMIC_POSITIONS crystal
Ba 0.7495 0.4989 0.7500
Ba 0.2505 0.5011 0.2500
Mg 0.0000 0.0000 0.5000
Mg 0.0000 0.0000 0.0000
Zn 0.4693 0.9387 0.7500
Zn 0.5307 0.0613 0.2500
S 0.6255 0.2509 0.4421
S 0.3745 0.7491 0.5579
S 0.3745 0.7491 0.9421
S 0.6255 0.2509 0.0579
S 0.0663 0.1325 0.7500
S 0.9337 0.8675 0.2500
CELL_PARAMETERS angstrom
3.9962 0.0000 0.0000
-1.9981 6.8381 0.0000
0.0000 0.0000 9.9952
! Space-group type = Cmcm (63)
! Raw formation energy = -8.4 eV/f.u.
! Magnetization = 0.00 Bohr magnetons per cell



Entry 4:
! Ag3SBr2 (GGA-PBE, optimized geometry); values from VASP
&SYSTEM
  ibrav = 0, nat = 12, ntyp = 3
/
ATOMIC_SPECIES
Ag 107.87 Ag.upf
S 32.06 S.upf
Br 79.90 Br.upf
ATOMIC_POSITIONS crystal
Ag 0.3315 0.2500 0.0000
Ag 0.6685 0.7500 0.0000
Ag 0.2030 0.1009 0.3130
Ag 0.8900 0.3991 0.6870
Ag 0.1100 0.6009 0.3130
Ag 0.7970 0.8991 0.6870
S 0.9908 0.7500 0.0000
S 0.0092 0.2500 0.0000
Br 0.7052 0.5401 0.3320
Br 0.6268 0.0401 0.3320
Br 0.3732 0.9599 0.6680
Br 0.2948 0.4599 0.6680
CELL_PARAMETERS angstrom
7.6198 0.0000 0.0000
0.0000 7.3743 -0.4016
-3.8099 -2.1498 5.6779
! Space-group type = C2/c (15)
! Raw formation energy = -0.9 eV/f.u.
! Magnetization = 0.00 Bohr magnetons per cell



Entry 5:
! La3Al2Ag7 (GGA-PBE, optimized geometry); values from VASP
&SYSTEM
  ibrav = 0, nat = 12, ntyp = 3
/
ATOMIC_SPECIES
La 138.91 La.upf
Al 26.98 Al.upf
Ag 107.87 Ag.upf
ATOMIC_POSITIONS crystal
La 0.3269 0.3269 0.6539
La 0.6731 0.6731 0.3461
La 0.5000 0.5000 0.0000
Al 0.1316 0.1316 0.2632
Al 0.8684 0.8684 0.7368
Ag 0.0000 0.0000 0.0000
Ag 0.9190 0.4190 0.8380
Ag 0.4190 0.9190 0.8380
Ag 0.0810 0.5810 0.1620
Ag 0.5810 0.0810 0.1620
Ag 0.2221 0.2221 0.4442
Ag 0.7779 0.7779 0.5558
CELL_PARAMETERS angstrom
-2.9791 -2.9318 1.1456
2.8214 -1.7878 2.7616
-4.7558 11.5194 8.9154
! Space-group type = I4/mmm (139)
! Energy of formation = -1.88 eV per formula unit
! Magnetization = 0.00 Bohr magnetons per cell



Entry 6:
! Np2Zn16Ag (GGA-PBE, optimized geometry); values from VASP
&SYSTEM
  ibrav = 0, nat = 19, ntyp = 3
/
ATOMIC_SPECIES
Np 237.00 Np.upf
Zn 65.41 Zn.upf
Ag 107.87 Ag.upf
ATOMIC_POSITIONS crystal
Np 0.6590 0.6590 0.6590
Np 0.3397 0.3397 0.3397
Zn 0.7025 0.9993 0.2964
Zn 0.9993 0.2964 0.7025
Zn 0.2964 0.7025 0.9993
Zn 0.9993 0.7025 0.2964
Zn 0.7025 0.2964 0.9993
Zn 0.2964 0.9993 0.7025
Zn 0.3532 0.8390 0.3532
Zn 0.8390 0.3532 0.3532
Zn 0.3532 0.3532 0.8390
Zn 0.6464 0.1587 0.6464
Zn 0.1587 0.6464 0.6464
Zn 0.6464 0.6464 0.1587
Zn 0.0003 0.4977 0.0003
Zn 0.4977 0.0003 0.0003
Zn 0.0003 0.0003 0.4977
Zn 0.1083 0.1083 0.1083
Ag 0.9015 0.9015 0.9015
CELL_PARAMETERS angstrom
-3.4291 -5.8191 0.9659
4.9091 -3.3473 3.3541
-2.2056 1.3371 6.3167
! Space-group type = R3m (160)
! Energy of formation = -0.99 eV per formula unit
! Magnetization = 8.46 Bohr magnetons per cell



Per-record total energy, eV/f.u.: -44.79; -22.23; -25.61; -16.94; -44.11; -50.10